1.
Entry from OQMD: an optimized crystal structure of HoAlGa (GGA-PBE).

a b c (Å): 6.778 6.778 6.778
angles (deg): 90.00 90.00 90.00
Space group F-43m (No. 216)
Inequivalent atoms, fractional coordinates:
Ho 0.000 0.000 0.000 x4
Al 0.250 0.250 0.750 x4
Ga 0.250 0.250 0.250 x4

Properties
Electronic total energy (eV per atom): -3.69



2.
Entry from OQMD: an optimized crystal structure of TcAg2Se3 (GGA-PBE).

a b c (Å): 7.215 11.144 6.896
angles (deg): 90.00 115.18 90.00
Space group Cc (No. 9)
Inequivalent atoms, fractional coordinates:
Tc 0.000 0.135 0.000 x4
Ag 0.002 0.189 0.582 x4
Ag 0.044 0.395 0.874 x4
Se 0.204 0.233 0.345 x4
Se 0.305 0.105 0.935 x4
Se 0.325 0.478 0.705 x4

Properties
Electronic total energy (eV per atom): -4.41



3.
Entry from OQMD: an optimized crystal structure of CdF (GGA-PBE).

a b c (Å): 5.057 5.057 5.057
angles (deg): 90.00 90.00 90.00
Space group Fm-3m (No. 225)
Inequivalent atoms, fractional coordinates:
Cd 0.000 0.000 0.000 x4
F 0.000 0.000 0.500 x4

Properties
Electronic total energy (eV per atom): -2.64



4.
Entry from OQMD: an optimized crystal structure of Li2Pd2S3 (GGA-PBE).

a b c (Å): 6.0880 6.0880 12.3875
angles (deg): 90.00 90.00 120.00
Space group R-3m (No. 166, hexagonal axes)
Inequivalent atoms, fractional coordinates:
Li 0.0000 0.0000 0.0000 x3
Li 0.0000 0.0000 0.5000 x3
Pd 0.0000 0.0000 0.2109 x6
S 0.0000 0.5000 0.0000 x9

Properties
Electronic total energy (eV per atom): -3.90
Polymorph energy (0 for the lowest one) (meV/atom): 469